Material: Ti4Te9I4O
Method: DFT, GGA-PBEsol
State: optimized geometry

Structure (POSCAR):
```
Ti4Te9I4O
1.0
11.126 -3.090 0.000
11.126 3.090 0.000
-10.619 0.000 15.793
Ti Te I O
8 18 8 2
Cartesian
2.887 2.651 10.026
3.436 2.651 13.664
1.312 0.981 12.125
5.011 0.981 11.564
6.622 -0.981 4.229
10.321 -0.981 3.668
8.196 -2.651 2.129
8.746 -2.651 5.767
-0.145 0.136 1.864
-5.455 -0.136 9.760
0.356 0.134 5.220
-4.954 -0.134 13.117
1.077 0.670 9.354
8.471 1.271 3.948
4.413 0.676 8.841
1.910 0.676 14.848
6.387 -0.670 1.457
5.246 0.670 14.336
9.723 -0.676 0.945
7.220 -0.676 6.952
3.162 -1.271 11.845
10.555 -0.670 6.440
16.587 0.134 2.676
11.277 -0.134 10.573
17.088 0.136 6.033
11.778 -0.136 13.930
-2.734 2.051 15.646
4.372 0.520 4.566
9.057 2.051 8.044
-0.938 -0.520 12.463
12.571 0.520 3.330
2.576 -2.051 7.749
7.261 -0.520 11.227
14.367 -2.051 0.147
3.162 1.803 11.845
8.471 -1.803 3.948
```

Values from the calculation:
- DOS(E_F): 1.45 states/eV per cell
- Uncorrected energy: -91.23 eV per formula unit